*i*
## Pm2PuGe (PBE-GGA)

Data for an optimized crystal structure of Pm2PuGe.

Properties
Volume in Å³/cell: 428

abc: 7.534 7.534 7.534
angles: 90.00 90.00 90.00
Space group Fm-3m (No. 225)
Symmetry-distinct sites (fractional):
1 Pm 0.250 0.250 0.250 [8 per cell]
2 Pu 0.000 0.000 0.000 [4 per cell]
3 Ge 0.000 0.000 0.500 [4 per cell]

---

*ii*
## Pm2PuGe (PBE-GGA)

Data for an optimized crystal structure of Pm2PuGe.

Properties
Volume in Å³/cell: 109

abc: 3.898 3.898 7.157
angles: 90.00 90.00 90.00
Space group P4/mmm (No. 123)
Symmetry-distinct sites (fractional):
1 Pm 0.000 0.000 0.214 [2 per cell]
2 Pu 0.500 0.500 0.500 [1 per cell]
3 Ge 0.500 0.500 0.000 [1 per cell]

---

*iii*
## Pm2PuGe (PBE-GGA)

Data for an optimized crystal structure of Pm2PuGe.

Properties
Volume in Å³/cell: 105

abc: 4.822 4.822 4.511
angles: 90.00 90.00 90.00
Space group P4/mmm (No. 123)
Symmetry-distinct sites (fractional):
1 Pm 0.000 0.500 0.000 [2 per cell]
2 Pu 0.000 0.000 0.500 [1 per cell]
3 Ge 0.500 0.500 0.500 [1 per cell]

---

*iv*
## Pm2PuGe (PBE-GGA)

Data for an optimized crystal structure of Pm2PuGe.

Properties
Volume in Å³/cell: 369

abc: 3.6023 3.6023 32.8041
angles: 90.00 90.00 120.00
Space group R-3m (No. 166, hexagonal axes)
Symmetry-distinct sites (fractional):
1 Pm 0.0000 0.0000 0.1019 [6 per cell]
2 Pu 0.0000 0.0000 0.0000 [3 per cell]
3 Ge 0.0000 0.0000 0.5000 [3 per cell]

---

Name the most stable of them. *iii*.

---

*i*
## PmGe3Rh3 (PBE-GGA)

Data for an optimized crystal structure of PmGe3Rh3.

Properties
Volume in Å³/cell: 493

abc: 7.955 7.955 7.956
angles: 96.45 96.43 96.47
Space group P1 (No. 1)
Symmetry-distinct sites (fractional):
1 Pm 0.000 0.000 0.000 [1 per cell]
2 Pm 0.125 0.455 0.421 [1 per cell]
3 Pm 0.436 0.312 0.857 [1 per cell]
4 Pm 0.579 0.875 0.545 [1 per cell]
5 Ge 0.024 0.780 0.645 [1 per cell]
6 Ge 0.028 0.630 0.071 [1 per cell]
7 Ge 0.053 0.308 0.749 [1 per cell]
8 Ge 0.224 0.900 0.325 [1 per cell]
9 Ge 0.329 0.929 0.853 [1 per cell]
10 Ge 0.433 0.204 0.474 [1 per cell]
11 Ge 0.450 0.421 0.240 [1 per cell]
12 Ge 0.545 0.695 0.870 [1 per cell]
13 Ge 0.651 0.903 0.175 [1 per cell]
14 Ge 0.755 0.526 0.448 [1 per cell]
15 Ge 0.819 0.325 0.965 [1 per cell]
16 Ge 0.905 0.099 0.445 [1 per cell]
17 Rh 0.156 0.363 0.068 [1 per cell]
18 Rh 0.182 0.057 0.602 [1 per cell]
19 Rh 0.210 0.613 0.810 [1 per cell]
20 Rh 0.367 0.700 0.162 [1 per cell]
21 Rh 0.390 0.086 0.158 [1 per cell]
22 Rh 0.488 0.523 0.577 [1 per cell]
23 Rh 0.647 0.032 0.908 [1 per cell]
24 Rh 0.697 0.573 0.118 [1 per cell]
25 Rh 0.737 0.265 0.631 [1 per cell]
26 Rh 0.742 0.243 0.245 [1 per cell]
27 Rh 0.825 0.617 0.788 [1 per cell]
28 Rh 0.924 0.800 0.345 [1 per cell]

---

*ii*
## PmGe3Rh3 (PBE-GGA)

Data for an optimized crystal structure of PmGe3Rh3.

Properties
Volume in Å³/cell: 289

abc: 8.7421 8.7421 4.3703
angles: 90.00 90.00 120.00
Space group P6_3/m (No. 176)
Symmetry-distinct sites (fractional):
1 Pm 0.3333 0.6667 0.2500 [2 per cell]
2 Ge 0.0593 0.7157 0.7500 [6 per cell]
3 Rh 0.0533 0.4241 0.7500 [6 per cell]

---

*iii*
## PmGe3Rh3 (PBE-GGA)

Data for an optimized crystal structure of PmGe3Rh3.

Properties
Volume in Å³/cell: 300

abc: 6.695 6.695 6.695
angles: 90.00 90.00 90.00
Space group Pm-3n (No. 223)
Symmetry-distinct sites (fractional):
1 Pm 0.000 0.000 0.000 [2 per cell]
2 Ge 0.000 0.250 0.500 [6 per cell]
3 Rh 0.000 0.500 0.250 [6 per cell]

---

Name the most stable of them. *i*.

---

*i*
## Pm2Ge6Rh (PBE-GGA)

Data for an optimized crystal structure of Pm2Ge6Rh.

Properties
Volume in Å³/cell: 176

abc: 6.0915 6.0915 5.4878
angles: 90.00 90.00 120.00
Space group P-3m1 (No. 164)
Symmetry-distinct sites (fractional):
1 Pm 0.3333 0.6667 0.1782 [2 per cell]
2 Ge 0.1814 0.3627 0.6878 [6 per cell]
3 Rh 0.0000 0.0000 0.0000 [1 per cell]

---

*ii*
## Pm2Ge6Rh (PBE-GGA)

Data for an optimized crystal structure of Pm2Ge6Rh.

Properties
Volume in Å³/cell: 379

abc: 4.223 4.024 22.300
angles: 90.00 90.00 90.00
Space group Amm2 (No. 38)
Symmetry-distinct sites (fractional):
1 Pm 0.000 0.000 0.000 [2 per cell]
2 Pm 0.000 0.000 0.337 [2 per cell]
3 Ge 0.000 0.000 0.606 [2 per cell]
4 Ge 0.000 0.000 0.718 [2 per cell]
5 Ge 0.500 0.000 0.102 [2 per cell]
6 Ge 0.500 0.000 0.214 [2 per cell]
7 Ge 0.500 0.000 0.458 [2 per cell]
8 Ge 0.500 0.000 0.887 [2 per cell]
9 Rh 0.500 0.000 0.777 [2 per cell]

---

Name the most stable of them. *ii*.

---

*i*
## PmGe2Rh4 (PBE-GGA)

Data for an optimized crystal structure of PmGe2Rh4.

Properties
Volume in Å³/cell: 466

abc: 16.992 4.175 6.566
angles: 90.00 90.00 90.00
Space group Pnma (No. 62)
Symmetry-distinct sites (fractional):
1 Pm 0.138 0.250 0.004 [4 per cell]
2 Ge 0.038 0.750 0.264 [4 per cell]
3 Ge 0.217 0.250 0.523 [4 per cell]
4 Rh 0.031 0.750 0.859 [4 per cell]
5 Rh 0.074 0.250 0.492 [4 per cell]
6 Rh 0.185 0.750 0.312 [4 per cell]
7 Rh 0.194 0.750 0.728 [4 per cell]

---

*ii*
## PmGe2Rh4 (PBE-GGA)

Data for an optimized crystal structure of PmGe2Rh4.

Properties
Volume in Å³/cell: 235

abc: 7.760 7.760 3.905
angles: 90.00 90.00 90.00
Space group P4_2/mnm (No. 136)
Symmetry-distinct sites (fractional):
1 Pm 0.000 0.000 0.000 [2 per cell]
2 Ge 0.226 0.226 0.500 [4 per cell]
3 Rh 0.078 0.661 0.500 [8 per cell]

---

Name the most stable of them. *ii*.